Compound: NaSmTeO
Source: OQMD via LeMat-Bulk
Functional: PBE
Structure: optimized geometry

Calculated values
The calculation puts the energy above the most stable polymorph in this dataset at 0 meV/atom. For the magnetic moment, the calculation gives 0.00 μB/f.u. For the total energy, the calculation gives -5.579 eV/atom.

Cell lengths 4.1932, 4.1932, 10.1949 Å; angles 90.00, 90.00, 90.00 degrees
Last column: nearest neighbours and their distance in Å.
Space group P4/nmm (No. 129, origin choice 2)
Symmetry-distinct sites (fractional):
Na 0.2500 0.7500 0.0000 (multiplicity 2)  4 Na 2.97, 4 Te 3.02
Sm 0.2500 0.2500 0.3960 (multiplicity 2)  4 O 2.35
Te 0.2500 0.2500 0.7869 (multiplicity 2)  4 Na 3.02
O 0.2500 0.7500 0.5000 (multiplicity 2)  4 Sm 2.35